Compound: TbEuPuIn
Source: the Alexandria database
Functional: GGA-PBE
Structure: relaxed

a = 5.498 Å, b = 5.498 Å, c = 5.498 Å
α = 60.00°, β = 60.00°, γ = 60.00°
Sites, in units of the cell vectors:
Eu: 0.750 0.750 0.750
Tb: 0.250 0.250 0.250
In: 0.500 0.500 0.500
Pu: 0.000 0.000 0.000

Summary:
Spin magnetization = 0.210 μB per atom
VASP energy = -31.91 eV per formula unit
Crystal system = cubic



Compound: TeHIr2
Source: the Alexandria database
Functional: GGA-PBE
Structure: relaxed

a = 5.020 Å, b = 5.020 Å, c = 6.005 Å
α = 65.29°, β = 65.29°, γ = 90.00°
Sites, in units of the cell vectors:
H: 0.500 0.500 0.000
H: 0.250 0.750 0.500
Ir: 0.497 0.125 0.250
Ir: 0.875 0.747 0.750
Te: 0.750 0.250 0.500
Ir: 0.253 0.625 0.250
Te: 0.000 0.000 0.000
Ir: 0.375 0.503 0.750

Summary:
Spin magnetization = 0.000 μB per atom
VASP energy = -23.05 eV per formula unit
Crystal system = tetragonal



Compound: Nb3HgIr
Source: the Alexandria database
Functional: GGA-PBE
Structure: relaxed

a = 4.946 Å, b = 4.946 Å, c = 4.946 Å
α = 90.00°, β = 90.00°, γ = 90.00°
Sites, in units of the cell vectors:
Ir: 0.500 0.500 0.500
Nb: 0.500 0.000 0.000
Nb: 0.000 0.000 0.500
Nb: 0.000 0.500 0.000
Hg: 0.000 0.000 0.000

Summary:
Spin magnetization = 0.278 μB per atom
VASP energy = -28.06 eV per formula unit
Crystal system = cubic